Entry 1:
Compound: CdIn2Ru
Source: the Alexandria database
Functional: PBE-GGA
Structure: optimized geometry

ΔE to the lowest computed polymorph: 15 meV per atom

a b c (Å): 3.472 3.669 6.185
angles (deg): 90.00 90.11 90.00
Fractional positions:
Cd 0.000 0.000 0.000
In 0.499 0.500 0.269
In 0.501 0.500 0.731
Ru 0.000 0.000 0.500


Entry 2:
Compound: CdInRu2
Source: the Alexandria database
Functional: PBE-GGA
Structure: optimized geometry

a b c (Å): 4.786 4.786 5.158
angles (deg): 100.55 100.55 36.13
Fractional positions:
Cd 0.000 0.000 0.000
In 0.500 0.500 0.500
Ru 0.247 0.247 0.749
Ru 0.753 0.753 0.251


Entry 3:
Compound: CdIn2Ru
Source: the Alexandria database
Functional: PBE-GGA
Structure: optimized geometry

ΔE to the lowest computed polymorph: 99 meV per atom

a b c (Å): 3.238 4.945 4.947
angles (deg): 90.00 90.00 90.00
Fractional positions:
Cd 0.000 0.000 0.000
In 0.000 0.500 0.677
In 0.500 0.000 0.476
Ru 0.500 0.500 0.185


Entry 4:
Compound: CdInRu2
Source: the Alexandria database
Functional: PBE-GGA
Structure: optimized geometry

a b c (Å): 3.015 4.388 5.567
angles (deg): 90.00 105.60 90.00
Fractional positions:
Cd 0.000 0.000 0.000
In 0.655 0.500 0.305
Ru 0.275 0.000 0.545
Ru 0.380 0.500 0.760


Entry 5:
Compound: CdIn2Ru
Source: the Alexandria database
Functional: PBE-GGA
Structure: optimized geometry

ΔE to the lowest computed polymorph: 271 meV per atom

a b c (Å): 4.824 4.824 4.824
angles (deg): 60.00 60.00 60.00
Fractional positions:
Cd 0.000 0.000 0.000
In 0.250 0.250 0.250
In 0.500 0.500 0.500
Ru 0.750 0.750 0.750


Entry 6:
Compound: CdIn2Ru
Source: the Alexandria database
Functional: PBE-GGA
Structure: optimized geometry

ΔE to the lowest computed polymorph: 254 meV per atom

a b c (Å): 6.778 6.778 6.778
angles (deg): 99.41 99.41 132.29
Fractional positions:
Cd 0.000 0.000 0.000
Cd 0.750 0.250 0.500
In 0.234 0.625 0.109
In 0.375 0.484 0.609
In 0.516 0.125 0.891
In 0.875 0.766 0.391
Ru 0.250 0.750 0.500
Ru 0.500 0.500 0.000


Entry 7:
Compound: CdIn3Ru
Source: the Alexandria database
Functional: PBE-GGA
Structure: optimized geometry

ΔE to the lowest computed polymorph: 0 meV per atom

a b c (Å): 5.199 5.199 5.199
angles (deg): 90.00 90.00 90.00
Fractional positions:
Cd 0.000 0.000 0.000
In 0.000 0.500 0.500
In 0.500 0.000 0.500
In 0.500 0.500 0.000
Ru 0.500 0.500 0.500


Entry 8:
Compound: CdIn2Ru
Source: the Alexandria database
Functional: PBE-GGA
Structure: optimized geometry

ΔE to the lowest computed polymorph: 74 meV per atom

a b c (Å): 5.124 5.124 5.023
angles (deg): 105.28 105.28 39.23
Fractional positions:
Cd 0.000 0.000 0.000
In 0.233 0.233 0.723
In 0.767 0.767 0.277
Ru 0.500 0.500 0.500


Entry 9:
Compound: CdInRu3
Source: the Alexandria database
Functional: PBE-GGA
Structure: optimized geometry

ΔE to the lowest computed polymorph: 0 meV per atom

a b c (Å): 4.890 4.890 4.890
angles (deg): 90.00 90.00 90.00
Fractional positions:
Cd 0.000 0.000 0.000
In 0.500 0.500 0.500
Ru 0.000 0.500 0.500
Ru 0.500 0.000 0.500
Ru 0.500 0.500 0.000


Entry 10:
Compound: CdIn2Ru2
Source: the Alexandria database
Functional: PBE-GGA
Structure: optimized geometry

a b c (Å): 7.290 7.290 3.511
angles (deg): 90.00 90.00 90.00
Fractional positions:
Cd 0.000 0.000 0.000
Cd 0.500 0.500 0.000
In 0.158 0.342 0.500
In 0.342 0.842 0.500
In 0.658 0.158 0.500
In 0.842 0.658 0.500
Ru 0.139 0.639 0.000
Ru 0.361 0.139 0.000
Ru 0.639 0.861 0.000
Ru 0.861 0.361 0.000


Entry 11:
Compound: CdInRu2
Source: the Alexandria database
Functional: PBE-GGA
Structure: optimized geometry

a b c (Å): 4.788 2.969 5.139
angles (deg): 90.00 110.66 90.00
Fractional positions:
Cd 0.000 0.000 0.000
In 0.000 0.500 0.500
Ru 0.500 0.000 0.500
Ru 0.500 0.500 0.000


Entry 12:
Compound: CdInRu2
Source: the Alexandria database
Functional: PBE-GGA
Structure: optimized geometry

a b c (Å): 4.599 4.599 4.599
angles (deg): 60.00 60.00 60.00
Fractional positions:
Cd 0.000 0.000 0.000
In 0.750 0.750 0.750
Ru 0.250 0.250 0.250
Ru 0.500 0.500 0.500


Entry 13:
Compound: CdInRu2
Source: the Alexandria database
Functional: PBE-GGA
Structure: optimized geometry

a b c (Å): 5.382 5.382 5.382
angles (deg): 146.08 126.78 64.63
Fractional positions:
Cd 0.000 0.000 0.000
In 0.500 0.500 0.000
Ru 0.256 0.756 0.500
Ru 0.744 0.244 0.500


Entry 14:
Compound: CdIn2Ru
Source: the Alexandria database
Functional: PBE-GGA
Structure: optimized geometry

ΔE to the lowest computed polymorph: 167 meV per atom

a b c (Å): 4.788 4.788 4.788
angles (deg): 60.00 60.00 60.00
Fractional positions:
Cd 0.000 0.000 0.000
In 0.250 0.250 0.250
In 0.750 0.750 0.750
Ru 0.500 0.500 0.500


Entry 15:
Compound: CdInRu2
Source: the Alexandria database
Functional: PBE-GGA
Structure: optimized geometry

a b c (Å): 4.940 4.940 4.940
angles (deg): 130.69 130.69 72.31
Fractional positions:
Cd 0.000 0.000 0.000
In 0.250 0.750 0.500
Ru 0.500 0.500 0.000
Ru 0.750 0.250 0.500


Entry 16:
Compound: CdIn2Ru
Source: the Alexandria database
Functional: PBE-GGA
Structure: optimized geometry

ΔE to the lowest computed polymorph: 14 meV per atom

a b c (Å): 5.377 5.377 5.377
angles (deg): 134.92 134.75 65.78
Fractional positions:
Cd 0.000 0.000 0.000
In 0.251 0.751 0.500
In 0.501 0.501 0.000
Ru 0.750 0.250 0.500


Entry 17:
Compound: CdIn2SnRu
Source: the Alexandria database
Functional: PBE-GGA
Structure: optimized geometry

a b c (Å): 5.241 5.241 5.091
angles (deg): 90.00 90.00 90.00
Fractional positions:
Cd 0.000 0.000 0.000
In 0.000 0.500 0.500
In 0.500 0.000 0.500
Sn 0.500 0.500 0.000
Ru 0.500 0.500 0.500


Entry 18:
Compound: Cd2InSnRu
Source: the Alexandria database
Functional: PBE-GGA
Structure: optimized geometry

a b c (Å): 5.271 5.271 5.098
angles (deg): 90.00 90.00 90.00
Fractional positions:
Cd 0.000 0.500 0.000
Cd 0.500 0.000 0.000
In 0.000 0.000 0.000
Sn 0.500 0.500 0.500
Ru 0.000 0.000 0.500


Entry 19:
Compound: Tb4Cd2InRu
Source: the Alexandria database
Functional: PBE-GGA
Structure: optimized geometry

a b c (Å): 8.927 8.927 8.927
angles (deg): 33.93 33.93 33.93
Fractional positions:
Tb 0.114 0.114 0.114
Tb 0.368 0.368 0.368
Tb 0.632 0.632 0.632
Tb 0.886 0.886 0.886
Cd 0.243 0.243 0.243
Cd 0.757 0.757 0.757
In 0.500 0.500 0.500
Ru 0.000 0.000 0.000


Entry 20:
Compound: Th2CdInRu
Source: the Alexandria database
Functional: PBE-GGA
Structure: optimized geometry

a b c (Å): 8.249 4.016 8.401
angles (deg): 90.00 108.74 90.00
Fractional positions:
Th 0.006 0.250 0.220
Th 0.339 0.750 0.590
Th 0.661 0.250 0.410
Th 0.994 0.750 0.780
Cd 0.355 0.250 0.937
Cd 0.645 0.750 0.063
In 0.317 0.750 0.185
In 0.683 0.250 0.815
Ru 0.114 0.250 0.615
Ru 0.886 0.750 0.385


Energy of formation per entry: 0.14, 0.36, 0.22, 0.31, 0.39, 0.37, 0.10, 0.20, 1.81, 0.10, 0.36, 0.40, 0.42, 0.29, 0.37, 0.14, 0.05, 0.96, -0.38, -0.35 eV per atom